{
  "formula": "In2NiBiBr",
  "functional": "PBE-GGA",
  "state": "optimized geometry",
  "formation_energy_uncorrected_kj_per_mol_atoms": -12.0,
  "lattice": [[5.090, 0.000, 0.000], [0.000, 5.090, 0.000], [0.000, 0.000, 5.181]],
  "species": ["In", "In", "Ni", "Bi", "Br"],
  "fractional_positions": [[0.000, 0.500, 0.000], [0.500, 0.000, 0.000], [0.000, 0.000, 0.000], [0.000, 0.000, 0.500], [0.500, 0.500, 0.500]]
}

=====

{
  "formula": "InBiPbBr6",
  "functional": "PBE-GGA",
  "state": "optimized geometry",
  "formation_energy_uncorrected_kj_per_mol_atoms": -76.1,
  "lattice": [[7.657, 0.000, 0.000], [-3.828, 6.631, 0.000], [0.000, 0.000, 14.284]],
  "species": ["In", "In", "Bi", "Bi", "Pb", "Pb", "Br", "Br", "Br", "Br", "Br", "Br", "Br", "Br", "Br", "Br", "Br", "Br"],
  "fractional_positions": [[0.000, 0.000, 0.000], [0.000, 0.000, 0.500], [0.333, 0.667, 0.250], [0.667, 0.333, 0.750], [0.333, 0.667, 0.750], [0.667, 0.333, 0.250], [0.017, 0.369, 0.131], [0.017, 0.648, 0.369], [0.352, 0.369, 0.369], [0.352, 0.983, 0.131], [0.369, 0.017, 0.631], [0.369, 0.352, 0.869], [0.631, 0.648, 0.131], [0.631, 0.983, 0.369], [0.648, 0.017, 0.869], [0.648, 0.631, 0.631], [0.983, 0.352, 0.631], [0.983, 0.631, 0.869]]
}